# 1
# Ga2MoRh2, relaxed, DFT GGA-PBE
# Space-group type: No. 127
data_Ga2MoRh2
_chemical_formula_sum 'Ga4 Mo2 Rh4'
_cell_length_a 7.279
_cell_length_b 7.279
_cell_length_c 2.817
_cell_angle_alpha 90.00
_cell_angle_beta 90.00
_cell_angle_gamma 90.00
_symmetry_space_group_name_H-M 'P 1'
_symmetry_Int_Tables_number 1
_symmetry_space_group_name_Hall 'P 1'
loop_
_atom_site_label
_atom_site_type_symbol
_atom_site_fract_x
_atom_site_fract_y
_atom_site_fract_z
Ga1 Ga 0.164 0.336 0.000
Ga2 Ga 0.336 0.836 0.000
Ga3 Ga 0.664 0.164 0.000
Ga4 Ga 0.836 0.664 0.000
Mo1 Mo 0.000 0.000 0.500
Mo2 Mo 0.500 0.500 0.500
Rh1 Rh 0.135 0.635 0.500
Rh2 Rh 0.365 0.135 0.500
Rh3 Rh 0.635 0.865 0.500
Rh4 Rh 0.865 0.365 0.500

***

# 2
# GaMoRh, relaxed, DFT GGA-PBE
# Space-group type: No. 71
data_GaMoRh
_chemical_formula_sum 'Ga2 Mo2 Rh2'
_cell_length_a 5.194
_cell_length_b 5.194
_cell_length_c 5.194
_cell_angle_alpha 130.40
_cell_angle_beta 120.99
_cell_angle_gamma 80.62
_symmetry_space_group_name_H-M 'P 1'
_symmetry_Int_Tables_number 1
_symmetry_space_group_name_Hall 'P 1'
loop_
_atom_site_label
_atom_site_type_symbol
_atom_site_fract_x
_atom_site_fract_y
_atom_site_fract_z
Ga1 Ga 0.169 0.169 0.000
Ga2 Ga 0.831 0.831 0.000
Mo1 Mo 0.246 0.500 0.746
Mo2 Mo 0.754 0.500 0.254
Rh1 Rh 0.334 0.834 0.500
Rh2 Rh 0.666 0.166 0.500

***

# 3
# GaMoRh, relaxed, DFT GGA-PBE
# Space-group type: No. 164
data_GaMoRh
_chemical_formula_sum 'Ga2 Mo2 Rh2'
_cell_length_a 4.461
_cell_length_b 4.461
_cell_length_c 5.125
_cell_angle_alpha 90.00
_cell_angle_beta 90.00
_cell_angle_gamma 120.00
_symmetry_space_group_name_H-M 'P 1'
_symmetry_Int_Tables_number 1
_symmetry_space_group_name_Hall 'P 1'
loop_
_atom_site_label
_atom_site_type_symbol
_atom_site_fract_x
_atom_site_fract_y
_atom_site_fract_z
Ga1 Ga 0.333 0.667 0.277
Ga2 Ga 0.667 0.333 0.723
Mo1 Mo 0.000 0.000 0.000
Mo2 Mo 0.000 0.000 0.500
Rh1 Rh 0.333 0.667 0.778
Rh2 Rh 0.667 0.333 0.222

***

# 4
# GaMoRh, relaxed, DFT GGA-PBE
# Space-group type: No. 11
data_GaMoRh
_chemical_formula_sum 'Ga2 Mo2 Rh2'
_cell_length_a 4.253
_cell_length_b 3.070
_cell_length_c 7.016
_cell_angle_alpha 90.00
_cell_angle_beta 101.05
_cell_angle_gamma 90.00
_symmetry_space_group_name_H-M 'P 1'
_symmetry_Int_Tables_number 1
_symmetry_space_group_name_Hall 'P 1'
loop_
_atom_site_label
_atom_site_type_symbol
_atom_site_fract_x
_atom_site_fract_y
_atom_site_fract_z
Ga1 Ga 0.168 0.250 0.159
Ga2 Ga 0.832 0.750 0.841
Mo1 Mo 0.247 0.750 0.496
Mo2 Mo 0.753 0.250 0.504
Rh1 Rh 0.327 0.250 0.816
Rh2 Rh 0.673 0.750 0.184

***

It is found that the DFT total energy values, taken in the order of the records, are -65.24, -44.43, -44.19, -44.39 eV per cell.
It is found that the V values, taken in the order of the records, are 14.93, 14.72, 14.72, 14.99 Å³ per atom.
It is found that the ΔE_f values, taken in the order of the records, are -0.206, -0.334, -0.295, -0.328 eV/atom.